A relaxed structure of ZnHgMo2, computed with PBE.

Summary:
E_form = 0.407 eV/atom
D(E_F) = 2.23 states/eV/f.u.
DFT total energy = -0.3971 Ry/atom
Crystal system = orthorhombic

POSCAR file:
```
ZnHgMo2
1.0
1.8084 -2.0636 0.0000
1.8084 2.0636 0.0000
0.0000 0.0000 8.8869
Zn Hg Mo
1 1 2
direct
0.0000 0.0000 0.0000
0.0000 0.0000 0.5000
0.5000 0.5000 0.2332
0.5000 0.5000 0.7668
```